Compound: MnAl2Tc
Source: the Alexandria database
Functional: GGA-PBE
Structure: optimized geometry

a b c (Å): 5.621 7.144 2.809
angles (deg): 90.00 90.00 90.00
Sites, in units of the cell vectors:
Mn 0.000 0.000 0.000
Mn 0.500 0.500 0.000
Al 0.250 0.250 0.500
Al 0.250 0.750 0.500
Al 0.750 0.250 0.500
Al 0.750 0.750 0.500
Tc 0.000 0.500 0.000
Tc 0.500 0.000 0.000

As for the energy above the most stable polymorph in this dataset: 65.4 meV/atom. For the formation energy, the calculation gives -247 meV per atom. As for the mass density: 6.1 g/cm3. Its total magnetic moment is 6.650 μB/cell.